Compound: Tb2Pd8Pb
Source: Alexandria via LeMat-Bulk
Functional: GGA-PBE
Structure: optimized geometry

Properties
The value obtained for the density of states at the Fermi level is 4.3 states/eV/f.u. Its symmetry is C2/m (12). The calculation puts the total energy at -60.53 eV/cell. The calculation puts the theoretical density at 11.0 g cm⁻³.

a = 4.7507 Å, b = 6.0227 Å, c = 8.2024 Å
α = 111.62°, β = 106.83°, γ = 90.00°
Atoms (fractional coordinates):
Pd1 0.0001 0.2595 0.0002
Pd2 0.3551 0.1191 0.7102
Pd3 0.9999 0.7405 0.9998
Pd4 0.8202 0.8205 0.6404
Pd5 0.3547 0.5910 0.7094
Pd6 0.6449 0.8809 0.2898
Pd7 0.6453 0.4090 0.2906
Pd8 0.1798 0.1795 0.3596
Tb1 0.1869 0.6868 0.3738
Tb2 0.8131 0.3132 0.6262
Pb1 0.5000 0.0000 0.0000

---

Compound: Tb4Pd2Pb
Source: Alexandria via LeMat-Bulk
Functional: GGA-PBE
Structure: optimized geometry

Properties
The value obtained for the density of states at the Fermi level is 5.5 states/eV/f.u. Its symmetry is R-3m (166). The calculation puts the total energy at -36.27 eV/cell. The calculation puts the theoretical density at 8.9 g cm⁻³.

a = 4.6826 Å, b = 4.6826 Å, c = 10.6961 Å
α = 77.36°, β = 77.36°, γ = 60.00°
Atoms (fractional coordinates):
Pb1 0.5000 0.5000 0.5000
Pd1 0.6019 0.6019 0.1944
Pd2 0.3981 0.3981 0.8056
Tb1 0.7009 0.7009 0.8974
Tb2 0.8863 0.8863 0.3412
Tb3 0.2991 0.2991 0.1026
Tb4 0.1137 0.1137 0.6588

---

Compound: TbPd2Pb
Source: Alexandria via LeMat-Bulk
Functional: GGA-PBE
Structure: optimized geometry

Properties
The value obtained for the density of states at the Fermi level is 3.1 states/eV/f.u. Its symmetry is P4/mmm (123). The calculation puts the total energy at -21.11 eV/cell. The calculation puts the theoretical density at 11.4 g cm⁻³.

a = 3.7831 Å, b = 4.7122 Å, c = 4.7122 Å
α = 90.00°, β = 90.00°, γ = 90.00°
Atoms (fractional coordinates):
Pd1 0.0000 0.0000 0.5000
Pd2 0.0000 0.5000 0.0000
Pb1 0.5000 0.0000 0.0000
Tb1 0.5000 0.5000 0.5000

---

Compound: TbPd12Pb6
Source: Alexandria via LeMat-Bulk
Functional: GGA-PBE
Structure: optimized geometry

Properties
The value obtained for the density of states at the Fermi level is 7.7 states/eV/f.u. Its symmetry is R-3m (166). The calculation puts the total energy at -92.89 eV/cell. The calculation puts the theoretical density at 11.2 g cm⁻³.

a = 7.6968 Å, b = 7.6968 Å, c = 7.6968 Å
α = 105.06°, β = 105.06°, γ = 105.06°
Atoms (fractional coordinates):
Pb1 0.7208 0.7208 0.3089
Pb2 0.6911 0.2792 0.2792
Pb3 0.3089 0.7208 0.7208
Pb4 0.2792 0.2792 0.6911
Pb5 0.7208 0.3089 0.7208
Pb6 0.2792 0.6911 0.2792
Pd1 0.5000 0.8858 0.1142
Pd2 0.1142 0.8858 0.5000
Pd3 0.3399 0.3399 0.1034
Pd4 0.1034 0.3399 0.3399
Pd5 0.3399 0.1034 0.3399
Pd6 0.1142 0.5000 0.8858
Pd7 0.6601 0.8966 0.6601
Pd8 0.8858 0.1142 0.5000
Pd9 0.6601 0.6601 0.8966
Pd10 0.8966 0.6601 0.6601
Pd11 0.5000 0.1142 0.8858
Pd12 0.8858 0.5000 0.1142
Tb1 0.0000 0.0000 0.0000

---

Compound: Tb2PdPb
Source: Alexandria via LeMat-Bulk
Functional: GGA-PBE
Structure: optimized geometry

Properties
The value obtained for the density of states at the Fermi level is 1.8 states/eV/f.u. Its symmetry is P4/mmm (123). The calculation puts the total energy at -20.82 eV/cell. The calculation puts the theoretical density at 10.4 g cm⁻³.

a = 3.5935 Å, b = 3.5935 Å, c = 7.8125 Å
α = 90.00°, β = 90.00°, γ = 90.00°
Atoms (fractional coordinates):
Pd1 0.5000 0.5000 0.0000
Tb1 0.0000 0.0000 0.2167
Tb2 0.0000 0.0000 0.7833
Pb1 0.5000 0.5000 0.5000

---

Compound: TbPd2Pb
Source: Alexandria via LeMat-Bulk
Functional: GGA-PBE
Structure: optimized geometry

Properties
The value obtained for the density of states at the Fermi level is 2.2 states/eV/f.u. Its symmetry is Fm-3m (225). The calculation puts the total energy at -21.49 eV/cell. The calculation puts the theoretical density at 11.7 g cm⁻³.

a = 4.8849 Å, b = 4.8849 Å, c = 4.8849 Å
α = 60.00°, β = 60.00°, γ = 60.00°
Atoms (fractional coordinates):
Pd1 0.2500 0.2500 0.2500
Pd2 0.7500 0.7500 0.7500
Tb1 0.5000 0.5000 0.5000
Pb1 0.0000 0.0000 0.0000

---

Compound: Tb2Pd7Pb2
Source: Alexandria via LeMat-Bulk
Functional: GGA-PBE
Structure: optimized geometry

Properties
The value obtained for the density of states at the Fermi level is 4.0 states/eV/f.u. Its symmetry is C2/m (12). The calculation puts the total energy at -58.41 eV/cell. The calculation puts the theoretical density at 11.1 g cm⁻³.

a = 6.8490 Å, b = 4.8404 Å, c = 6.8490 Å
α = 83.11°, β = 99.60°, γ = 96.89°
Atoms (fractional coordinates):
Tb1 0.7821 0.5000 0.7821
Tb2 0.2179 0.5000 0.2179
Pd1 0.0000 0.0000 0.0000
Pd2 0.5543 0.7732 0.4457
Pd3 0.6105 0.7727 0.0442
Pd4 0.4457 0.2268 0.5543
Pd5 0.3895 0.2273 0.9558
Pd6 0.9558 0.7727 0.3895
Pd7 0.0442 0.2273 0.6105
Pb1 0.2659 0.7324 0.7341
Pb2 0.7341 0.2676 0.2659

---

Compound: TbTlPdPb
Source: Alexandria via LeMat-Bulk
Functional: GGA-PBE
Structure: optimized geometry

Properties
The value obtained for the density of states at the Fermi level is 1.0 states/eV/f.u. Its symmetry is F-43m (216). The calculation puts the total energy at -17.29 eV/cell. The calculation puts the theoretical density at 11.7 g cm⁻³.

a = 5.1467 Å, b = 5.1467 Å, c = 5.1467 Å
α = 60.00°, β = 60.00°, γ = 60.00°
Atoms (fractional coordinates):
Tl1 0.0000 0.0000 0.0000
Pd1 0.5000 0.5000 0.5000
Pb1 0.2500 0.2500 0.2500
Tb1 0.7500 0.7500 0.7500

---

Question: What is the theoretical density in the seventh record?
Answer: 11.1 g cm⁻³